An optimized crystal structure of Dy3Y5S8, computed with PBE-GGA.

a b c (Å): 7.830 7.830 7.830
angles (deg): 59.98 59.98 59.98
Positions (direct):
Dy 0.000 0.500 0.500
Dy 0.500 0.000 0.500
Dy 0.500 0.500 0.000
Y 0.000 0.000 0.000
Y 0.000 0.000 0.500
Y 0.000 0.500 0.000
Y 0.500 0.000 0.000
Y 0.500 0.500 0.500
S 0.250 0.250 0.250
S 0.250 0.250 0.749
S 0.250 0.749 0.250
S 0.251 0.750 0.750
S 0.749 0.250 0.250
S 0.750 0.251 0.750
S 0.750 0.750 0.251
S 0.750 0.750 0.750

Values from the calculation:
As for the space group: No. 166. As for the formation energy from raw total energies: -1.9908 eV/atom.



An optimized crystal structure of Dy3Y2S4, computed with PBE-GGA.

a b c (Å): 3.864 3.864 15.928
angles (deg): 90.00 90.00 120.00
Positions (direct):
Dy 0.000 0.000 0.000
Dy 0.333 0.667 0.590
Dy 0.667 0.333 0.410
Y 0.333 0.667 0.206
Y 0.667 0.333 0.794
S 0.000 0.000 0.306
S 0.000 0.000 0.694
S 0.333 0.667 0.898
S 0.667 0.333 0.102

Values from the calculation:
As for the space group: No. 164. As for the formation energy from raw total energies: -1.7576 eV/atom.



An optimized crystal structure of DyY3S6, computed with PBE-GGA.

a b c (Å): 8.046 8.046 8.046
angles (deg): 91.05 91.05 91.05
Positions (direct):
Dy 0.000 0.000 0.000
Dy 0.500 0.500 0.500
Y 0.067 0.747 0.576
Y 0.253 0.424 0.933
Y 0.424 0.933 0.253
Y 0.576 0.067 0.747
Y 0.747 0.576 0.067
Y 0.933 0.253 0.424
S 0.036 0.681 0.905
S 0.095 0.964 0.319
S 0.184 0.419 0.591
S 0.319 0.095 0.964
S 0.409 0.816 0.581
S 0.419 0.591 0.184
S 0.581 0.409 0.816
S 0.591 0.184 0.419
S 0.681 0.905 0.036
S 0.816 0.581 0.409
S 0.905 0.036 0.681
S 0.964 0.319 0.095

Values from the calculation:
As for the space group: No. 148. As for the formation energy from raw total energies: -2.0635 eV/atom.



An optimized crystal structure of YbDyS3, computed with PBE-GGA.

a b c (Å): 10.638 3.899 10.484
angles (deg): 90.00 90.00 90.00
Positions (direct):
Yb 0.185 0.250 0.003
Yb 0.315 0.750 0.503
Yb 0.685 0.250 0.497
Yb 0.815 0.750 0.997
Dy 0.009 0.250 0.684
Dy 0.491 0.750 0.184
Dy 0.509 0.250 0.816
Dy 0.991 0.750 0.316
S 0.048 0.750 0.867
S 0.121 0.250 0.442
S 0.228 0.750 0.196
S 0.272 0.250 0.696
S 0.379 0.750 0.942
S 0.452 0.250 0.367
S 0.548 0.750 0.633
S 0.621 0.250 0.058
S 0.728 0.750 0.304
S 0.772 0.250 0.804
S 0.879 0.750 0.558
S 0.952 0.250 0.133

Values from the calculation:
As for the space group: No. 62. As for the formation energy from raw total energies: -1.8245 eV/atom.



Please write out number 1 again, unchanged.
An optimized crystal structure of Dy3Y5S8, computed with PBE-GGA.

a b c (Å): 7.830 7.830 7.830
angles (deg): 59.98 59.98 59.98
Positions (direct):
Dy 0.000 0.500 0.500
Dy 0.500 0.000 0.500
Dy 0.500 0.500 0.000
Y 0.000 0.000 0.000
Y 0.000 0.000 0.500
Y 0.000 0.500 0.000
Y 0.500 0.000 0.000
Y 0.500 0.500 0.500
S 0.250 0.250 0.250
S 0.250 0.250 0.749
S 0.250 0.749 0.250
S 0.251 0.750 0.750
S 0.749 0.250 0.250
S 0.750 0.251 0.750
S 0.750 0.750 0.251
S 0.750 0.750 0.750

Values from the calculation:
As for the space group: No. 166. As for the formation energy from raw total energies: -1.9908 eV/atom.



Repeat the second record exactly.
An optimized crystal structure of Dy3Y2S4, computed with PBE-GGA.

a b c (Å): 3.864 3.864 15.928
angles (deg): 90.00 90.00 120.00
Positions (direct):
Dy 0.000 0.000 0.000
Dy 0.333 0.667 0.590
Dy 0.667 0.333 0.410
Y 0.333 0.667 0.206
Y 0.667 0.333 0.794
S 0.000 0.000 0.306
S 0.000 0.000 0.694
S 0.333 0.667 0.898
S 0.667 0.333 0.102

Values from the calculation:
As for the space group: No. 164. As for the formation energy from raw total energies: -1.7576 eV/atom.



Repeat the fourth record exactly.
An optimized crystal structure of YbDyS3, computed with PBE-GGA.

a b c (Å): 10.638 3.899 10.484
angles (deg): 90.00 90.00 90.00
Positions (direct):
Yb 0.185 0.250 0.003
Yb 0.315 0.750 0.503
Yb 0.685 0.250 0.497
Yb 0.815 0.750 0.997
Dy 0.009 0.250 0.684
Dy 0.491 0.750 0.184
Dy 0.509 0.250 0.816
Dy 0.991 0.750 0.316
S 0.048 0.750 0.867
S 0.121 0.250 0.442
S 0.228 0.750 0.196
S 0.272 0.250 0.696
S 0.379 0.750 0.942
S 0.452 0.250 0.367
S 0.548 0.750 0.633
S 0.621 0.250 0.058
S 0.728 0.750 0.304
S 0.772 0.250 0.804
S 0.879 0.750 0.558
S 0.952 0.250 0.133

Values from the calculation:
As for the space group: No. 62. As for the formation energy from raw total energies: -1.8245 eV/atom.